Record 1
VASP calculation (PBE) on crystalline UZnTc at its relaxed geometry.

ρ = 12.016 g/cm³
space-group type = C2/m
total DFT energy (no corrections) = -7.74 eV per atom

a = 4.8307 Å, b = 5.4592 Å, c = 4.6985 Å
α = 87.28°, β = 89.99°, γ = 63.73°
Each line ends with the local moment (μB).
Element x y z (fractional)
U 0.1074 0.7914 0.8278  0.68
U 0.8970 0.2118 0.1767  0.68
Zn 0.4211 0.1640 0.7519  0.00
Zn 0.5834 0.8392 0.2527  0.00
Tc 0.8040 0.3982 0.6418  -0.10
Tc 0.2005 0.6050 0.3626  -0.10

Record 2
VASP calculation (PBE) on crystalline NaPaIn2 at its relaxed geometry.

ρ = 7.862 g/cm³
space-group type = R-3m
total DFT energy (no corrections) = -4.10 eV per atom

a = 3.2591 Å, b = 3.2591 Å, c = 11.2641 Å
α = 81.68°, β = 81.68°, γ = 60.00°
Element x y z (fractional)
Na 0.5000 0.5000 0.5000
Pa 0.0000 0.0000 0.0000
In 0.7510 0.7510 0.7469
In 0.2490 0.2490 0.2531

Record 3
VASP calculation (PBE) on crystalline K15Rb4Sr at its relaxed geometry.

ρ = 1.130 g/cm³
space-group type = P4/mmm
total DFT energy (no corrections) = -1.07 eV per atom

a = 6.8623 Å, b = 6.8623 Å, c = 31.6980 Å
α = 90.00°, β = 90.00°, γ = 90.00°
Element x y z (fractional)
K 0.5000 0.5000 0.0000
K 0.5000 0.5000 0.1945
K 0.5000 0.5000 0.3971
K 0.5000 0.5000 0.6029
K 0.5000 0.5000 0.8055
K 0.5000 0.0000 0.0923
K 0.5000 0.0000 0.2947
K 0.5000 0.0000 0.5000
K 0.5000 0.0000 0.7053
K 0.5000 0.0000 0.9077
K 0.0000 0.5000 0.0923
K 0.0000 0.5000 0.2947
K 0.0000 0.5000 0.5000
K 0.0000 0.5000 0.7053
K 0.0000 0.5000 0.9077
Rb 0.0000 0.0000 0.1919
Rb 0.0000 0.0000 0.3969
Rb 0.0000 0.0000 0.6031
Rb 0.0000 0.0000 0.8081
Sr 0.0000 0.0000 0.0000